Entry 1:
{
  "formula": "Y4AlInAg2",
  "functional": "PBE",
  "state": "relaxed",
  "cell": [[2.6065, 1.5049, 8.5064], [-2.6065, 1.5049, 8.5064], [0.0000, -3.0098, 8.5064]],
  "species": ["Y", "Y", "Y", "Y", "Al", "In", "Ag", "Ag"],
  "frac_coords": [[0.1227, 0.1227, 0.1227], [0.3727, 0.3727, 0.3727], [0.6273, 0.6273, 0.6273], [0.8773, 0.8773, 0.8773], [0.0000, 0.0000, 0.0000], [0.5000, 0.5000, 0.5000], [0.2504, 0.2504, 0.2504], [0.7496, 0.7496, 0.7496]],
  "formation_energy_mev_per_atom": -401,
  "space_group": "R-3m, No. 166",
  "magmom_total_mub_per_cell": 0.00
}

Entry 2:
{
  "formula": "ZrAlInAg",
  "functional": "PBE",
  "state": "relaxed",
  "cell": [[4.1605, 0.0000, 0.0000], [0.0000, 4.2664, 0.0000], [0.0000, 0.0000, 4.4166]],
  "species": ["Zr", "Al", "In", "Ag"],
  "frac_coords": [[0.0000, 0.0000, 0.0000], [0.5000, 0.5000, 0.0000], [0.5000, 0.0000, 0.5000], [0.0000, 0.5000, 0.5000]],
  "formation_energy_mev_per_atom": -275,
  "space_group": "Pmmm, No. 47",
  "magmom_total_mub_per_cell": 0.00
}